P:
{"formula": "HoTmZnPt", "functional": "GGA-PBE", "state": "relaxed", "lattice_angstrom": [[3.5186, 0.0000, 0.0000], [0.0000, 3.5186, 0.0000], [0.0000, 0.0000, 6.8901]], "species": ["Ho", "Tm", "Zn", "Pt"], "frac_coords": [[0.0000, 0.0000, 0.8636], [0.0000, 0.0000, 0.3496], [0.5000, 0.5000, 0.6027], [0.5000, 0.5000, 0.1120]], "m_tot_mub_per_fu": 0.0, "spacegroup": "P4mm (99)"}

Q:
{"formula": "HoTmZnPt", "functional": "GGA-PBE", "state": "relaxed", "lattice_angstrom": [[-1.2616, -2.4401, 4.1045], [-0.6114, -4.8992, -0.1290], [3.2744, -2.9565, 2.2202]], "species": ["Zn", "Tm", "Ho", "Pt"], "frac_coords": [[0.2500, 0.2500, 0.2500], [0.5000, 0.5000, 0.5000], [0.0000, 0.0000, 0.0000], [0.7500, 0.7500, 0.7500]], "m_tot_mub_per_fu": 0.0, "spacegroup": "F-43m (216)"}

If we sort the structures by their calculated energies, the order from most to least stable is P, Q.

P:
{"formula": "HoVPt2", "functional": "GGA-PBE", "state": "relaxed", "lattice_angstrom": [[3.6758, 0.0000, 0.0000], [0.0000, 4.4268, 0.0000], [0.0000, 0.0000, 4.4268]], "species": ["Ho", "Pt", "Pt", "V"], "frac_coords": [[0.5000, 0.5000, 0.5000], [0.0000, 0.0000, 0.5000], [0.0000, 0.5000, 0.0000], [0.5000, 0.0000, 0.0000]], "m_tot_mub_per_fu": 3.0, "spacegroup": "P4/mmm (123)"}

Q:
{"formula": "HoVPt2", "functional": "GGA-PBE", "state": "relaxed", "lattice_angstrom": [[4.3509, 0.0000, 0.0000], [2.1755, 3.7680, 0.0000], [2.1755, 1.2560, 4.7396]], "species": ["Ho", "Pt", "Pt", "V"], "frac_coords": [[0.0000, 0.0000, 0.0000], [0.7901, 0.7901, 0.6297], [0.2099, 0.2099, 0.3703], [0.5000, 0.5000, 0.5000]], "m_tot_mub_per_fu": 0.5, "spacegroup": "R-3m (166)"}

If we sort the structures by their calculated energies, the order from most to least stable is Q, P.